Density functional theory data (PBE) for a relaxed Pb3IO3 crystal.

Properties
Total magnetization in μB per atom: 0.0000
Polymorph energy (0 for the lowest one) in meV/atom: 18
E in eV per atom: -4.810
E_form (uncorrected) in eV/atom: -0.874

abc: 9.3076 9.3076 4.8310
angles: 90.00 90.00 120.00
With the nearest neighbours (Å) after each atom.
Space group P6_3/m (No. 176)
One atom of each set of equivalent atoms:
Pb  0.0100  0.7338  0.2500 [6 per cell]  4 O 2.31-2.47
I  0.3333  0.6667  0.7500 [2 per cell]  3 Pb 3.49, 3 O 3.72
O  0.0082  0.7884  0.7500 [6 per cell]  4 Pb 2.31-2.47